First-principles (SCAN) data for a PBEsol-optimized structure of Si2SbIr, as listed in Alexandria via LeMat-Bulk.

Summary:
- E_tot: -31.576 eV per atom
- Formation energy (no corrections): 0.5218 eV per atom

Unit cell a=4.223 b=4.223 c=7.332 alpha=90.00 beta=90.00 gamma=90.00
Fractional coordinates of all 8 atoms:
Si (0.000, 0.500, 0.250)
Si (0.000, 0.500, 0.750)
Si (0.500, 0.000, 0.250)
Si (0.500, 0.000, 0.750)
Sb (0.000, 0.000, 0.000)
Sb (0.500, 0.500, 0.500)
Ir (0.000, 0.000, 0.500)
Ir (0.500, 0.500, 0.000)



First-principles (SCAN) data for a PBEsol-optimized structure of CePrO4, as listed in Alexandria via LeMat-Bulk.

Summary:
- E_tot: -22.081 eV per atom
- Formation energy (no corrections): -3.2788 eV per atom

Unit cell a=6.709 b=6.709 c=6.709 alpha=33.92 beta=33.92 gamma=33.92
Fractional coordinates of all 6 atoms:
Ce (0.000, 0.000, 0.000)
Pr (0.500, 0.500, 0.500)
O (0.119, 0.119, 0.119)
O (0.369, 0.369, 0.369)
O (0.631, 0.631, 0.631)
O (0.881, 0.881, 0.881)



First-principles (SCAN) data for a PBEsol-optimized structure of Tl2ReHg, as listed in Alexandria via LeMat-Bulk.

Summary:
- E_tot: -70.217 eV per atom
- Formation enthalpy at 0 K: 0.78 eV/atom
- Energy relative to the lowest polymorph listed for this composition: 0.0 meV/atom

Unit cell a=2.984 b=2.984 c=34.000 alpha=90.00 beta=90.00 gamma=120.00
Fractional coordinates of all 12 atoms:
Tl (0.000, 0.000, 0.240)
Tl (0.000, 0.000, 0.760)
Tl (0.333, 0.667, 0.426)
Tl (0.333, 0.667, 0.907)
Tl (0.667, 0.333, 0.093)
Tl (0.667, 0.333, 0.574)
Re (0.000, 0.000, 0.500)
Re (0.333, 0.667, 0.167)
Re (0.667, 0.333, 0.833)
Hg (0.000, 0.000, 0.000)
Hg (0.333, 0.667, 0.667)
Hg (0.667, 0.333, 0.333)



First-principles (SCAN) data for a PBEsol-optimized structure of KTc, as listed in Alexandria via LeMat-Bulk.

Summary:
- E_tot: -20.337 eV per atom
- Formation enthalpy at 0 K: 1.36 eV/atom

Unit cell a=2.602 b=2.602 c=5.796 alpha=90.00 beta=90.00 gamma=90.00
Fractional coordinates of all 2 atoms:
K (0.000, 0.000, 0.000)
Tc (0.500, 0.500, 0.500)



First-principles (SCAN) data for a PBEsol-optimized structure of Mg2Si2As, as listed in Alexandria via LeMat-Bulk.

Summary:
- E_tot: -9.954 eV per atom
- Formation energy (no corrections): 0.0801 eV per atom

Unit cell a=6.763 b=6.763 c=4.002 alpha=90.00 beta=90.00 gamma=90.00
Fractional coordinates of all 10 atoms:
Mg (0.177, 0.323, 0.000)
Mg (0.323, 0.823, 0.000)
Mg (0.677, 0.177, 0.000)
Mg (0.823, 0.677, 0.000)
Si (0.123, 0.623, 0.500)
Si (0.377, 0.123, 0.500)
Si (0.623, 0.877, 0.500)
Si (0.877, 0.377, 0.500)
As (0.000, 0.000, 0.500)
As (0.500, 0.500, 0.500)



First-principles (SCAN) data for a PBEsol-optimized structure of NaHfB3, as listed in Alexandria via LeMat-Bulk.

Summary:
- E_tot: -15.738 eV per atom
- Formation enthalpy at 0 K: 2.10 eV/atom

Unit cell a=3.986 b=3.986 c=3.986 alpha=90.00 beta=90.00 gamma=90.00
Fractional coordinates of all 5 atoms:
Na (0.000, 0.000, 0.000)
Hf (0.500, 0.500, 0.500)
B (0.000, 0.000, 0.500)
B (0.000, 0.500, 0.000)
B (0.500, 0.000, 0.000)



no.,theoretical density (g/cm³)
1,9.40
2,6.84
3,15.12
4,5.80
5,3.26
6,6.13